{"formula": "PuW4O12", "functional": "GGA+U", "state": "relaxed", "lattice_angstrom": [[6.317, -0.019, -2.409], [-3.086, 5.602, -2.192], [-0.123, 0.019, 6.760]], "species": ["O", "O", "O", "O", "O", "O", "O", "O", "O", "O", "O", "O", "W", "W", "W", "W", "Pu"], "frac_coords": [[0.195, 0.735, 0.930], [0.805, 0.265, 0.070], [0.960, 0.265, 0.695], [0.289, 0.079, 0.790], [0.195, 0.265, 0.460], [0.570, 0.265, 0.305], [0.430, 0.735, 0.695], [0.289, 0.500, 0.210], [0.805, 0.735, 0.540], [0.711, 0.921, 0.210], [0.040, 0.735, 0.305], [0.711, 0.500, 0.790], [0.000, 0.000, 0.500], [0.500, 0.500, 0.500], [0.500, 0.000, 0.000], [0.000, 0.500, 0.000], [0.000, 0.500, 0.500]], "vol_a3_per_atom": 13.975, "dos_ef_per_ev_cell": 2.13, "total_energy_ev_per_cell": -139.0}